A plane-wave DFT calculation with PBE was carried out for a geometry-optimized La3Dy5Th2 structure.

## Properties
Energy of formation from the pure elements = 0.196 eV/atom
Size of the total moment = 0.00 Bohr magnetons per cell

Lattice parameters (Å, degrees): 10.8516 17.4368 8.9843 90.00 126.93 90.00
With the nearest neighbours (Å) after each atom.
Space group C2/c (No. 15)
Inequivalent atoms, fractional coordinates:
La  0.0000  0.2253  0.2500  4 Th 3.35-3.67, 1 Dy 3.40, 2 La 3.56
La  0.1465  0.1239  0.0432  1 Th 3.10, 4 Dy 3.41-3.46
Dy  0.0000  0.0301  0.2500  5 La 3.40-3.49, 2 Th 3.52, 2 Dy 3.67
Dy  0.0000  0.2794  0.7500  1 Dy 3.26, 4 La 3.43-3.53, 2 Th 3.62
Dy  0.0000  0.4666  0.7500  1 Dy 3.26, 4 Th 3.31-3.49, 2 La 3.48
Dy  0.2482  0.3876  0.2454  2 Th 3.35-3.37, 2 La 3.41-3.46, 2 Dy 3.67-3.72
Th  0.1374  0.3809  0.5247  2 La 3.10-3.35, 3 Dy 3.31-3.37